Material: LiZnCN2
Method: DFT, GGA-PBE
State: optimized geometry

Results
ρ ... 2.42 Mg/m³
Raw formation energy ... -0.1 eV/f.u.
Calculated volume ... 15.4 Å³/atom
N(E_F) ... 0.84 states/eV/f.u.

POSCAR file:
```
LiZnCN2
1.0
-5.405 2.740 -1.289
-1.461 -0.916 4.183
1.956 4.766 1.929
Li Zn C N
2 2 2 4
direct
0.046 0.500 0.750 Li
0.954 0.500 0.250 Li
0.378 0.000 0.250 Zn
0.622 0.000 0.750 Zn
0.000 0.000 0.000 C
0.000 0.000 0.500 C
0.869 0.797 0.969 N
0.869 0.203 0.531 N
0.131 0.797 0.469 N
0.131 0.203 0.031 N
```